(1)
This record from the Alexandria database describes BiTe3Rh after structural relaxation. The functional is PBEsol.

Computed properties:
* ΔE_f (raw): 1.413 eV/atom
* VASP energy: -15.94 eV for the cell shown

Lattice parameters (Å, degrees): 5.744 5.744 5.744 90.00 90.00 90.00
Last column: magnetic moment on the atom in μB.
Fractional coordinates of all 5 atoms:
Te: 0.000 0.000 0.500  0.14
Te: 0.000 0.500 0.000  0.14
Te: 0.500 0.000 0.000  0.14
Rh: 0.500 0.500 0.500  1.61
Bi: 0.000 0.000 0.000  0.01


(2)
This record from the Alexandria database describes ScCd2Cu after structural relaxation. The functional is PBEsol.

Computed properties:
* VASP energy: -13.78 eV for the cell shown

Lattice parameters (Å, degrees): 3.377 4.738 5.443 115.80 108.07 90.00
Fractional coordinates of all 4 atoms:
Cu: 0.500 0.000 0.000
Cd: 0.225 0.225 0.449
Cd: 0.775 0.775 0.551
Sc: 0.000 0.500 0.000


(3)
This record from the Alexandria database describes ScOF2 after structural relaxation. The functional is PBEsol.

Computed properties:
* ΔE_f (raw): -2.414 eV/atom
* VASP energy: -25.36 eV for the cell shown

Lattice parameters (Å, degrees): 3.639 3.639 4.120 63.79 63.79 60.00
Last column: magnetic moment on the atom in μB.
Fractional coordinates of all 4 atoms:
F: 0.213 0.213 0.360  0.09
F: 0.787 0.787 0.640  0.09
Sc: 0.500 0.500 0.500  -0.05
O: 0.000 0.000 0.000  0.73


(4)
This record from the Alexandria database describes Li2CaCr after structural relaxation. The functional is PBEsol.

Computed properties:
* VASP energy: -14.29 eV for the cell shown

Lattice parameters (Å, degrees): 5.076 5.076 5.076 60.00 60.00 60.00
Last column: magnetic moment on the atom in μB.
Fractional coordinates of all 4 atoms:
Li: 0.750 0.750 0.750  -0.01
Li: 0.000 0.000 0.000  -0.01
Cr: 0.250 0.250 0.250  3.97
Ca: 0.500 0.500 0.500  0.06


(5)
This record from the Alexandria database describes KCSN after structural relaxation. The functional is PBEsol.

Computed properties:
* ΔE_f (raw): -0.401 eV/atom
* VASP energy: -50.58 eV for the cell shown

Lattice parameters (Å, degrees): 6.115 6.115 6.115 100.86 112.33 115.57
Fractional coordinates of all 8 atoms:
N: 0.947 0.827 0.619
N: 0.208 0.327 0.381
S: 0.266 0.656 0.111
S: 0.545 0.156 0.889
K: 0.775 0.775 0.000
K: 0.775 0.275 0.500
C: 0.236 0.467 0.269
C: 0.199 0.967 0.731


(6)
This record from the Alexandria database describes B2HS2 after structural relaxation. The functional is PBEsol.

Computed properties:
* VASP energy: -49.42 eV for the cell shown

Lattice parameters (Å, degrees): 2.947 6.663 6.663 90.00 90.00 90.00
Last column: magnetic moment on the atom in μB.
Fractional coordinates of all 10 atoms:
H: 0.000 0.000 0.000  0.09
H: 0.000 0.500 0.500  0.09
B: 0.500 0.413 0.087  0.04
B: 0.500 0.913 0.413  0.04
B: 0.500 0.587 0.913  0.04
B: 0.500 0.087 0.587  0.04
S: 0.000 0.201 0.701  0.00
S: 0.000 0.701 0.799  0.00
S: 0.000 0.299 0.201  0.00
S: 0.000 0.799 0.299  0.00


(7)
This record from the Alexandria database describes SbPb3 after structural relaxation. The functional is PBEsol.

Computed properties:
* ΔE_f (raw): 0.031 eV/atom
* VASP energy: -16.43 eV for the cell shown

Lattice parameters (Å, degrees): 4.881 4.881 4.881 90.00 90.00 90.00
Fractional coordinates of all 4 atoms:
Pb: 0.500 0.000 0.500
Pb: 0.000 0.500 0.500
Pb: 0.500 0.500 0.000
Sb: 0.000 0.000 0.000


(8)
This record from the Alexandria database describes FeCoPt3 after structural relaxation. The functional is PBEsol.

Computed properties:
* VASP energy: -30.68 eV for the cell shown

Lattice parameters (Å, degrees): 4.480 4.480 4.480 90.00 90.00 90.00
Last column: magnetic moment on the atom in μB.
Fractional coordinates of all 5 atoms:
Pt: 0.000 0.500 0.000  0.32
Pt: 0.500 0.000 0.000  0.32
Pt: 0.000 0.000 0.500  0.32
Co: 0.500 0.500 0.500  2.25
Fe: 0.000 0.000 0.000  2.50


(9)
This record from the Alexandria database describes SrCa2SeCl after structural relaxation. The functional is PBEsol.

Computed properties:
* ΔE_f (raw): -0.834 eV/atom
* VASP energy: -16.13 eV for the cell shown

Lattice parameters (Å, degrees): 5.503 5.503 6.155 90.00 90.00 90.00
Last column: magnetic moment on the atom in μB.
Fractional coordinates of all 5 atoms:
Se: 0.000 0.000 0.000  0.00
Ca: 0.000 0.500 0.000  0.08
Ca: 0.500 0.000 0.000  0.08
Cl: 0.500 0.500 0.500  0.02
Sr: 0.000 0.000 0.500  0.08


(10)
This record from the Alexandria database describes Mg2MnCrSb after structural relaxation. The functional is PBEsol.

Computed properties:
* ΔE_f (raw): 1.116 eV/atom
* VASP energy: -22.42 eV for the cell shown

Lattice parameters (Å, degrees): 4.990 5.276 5.276 90.00 90.00 90.00
Last column: magnetic moment on the atom in μB.
Fractional coordinates of all 5 atoms:
Sb: 0.000 0.000 0.000  -0.04
Cr: 0.500 0.000 0.000  3.66
Mg: 0.000 0.500 0.000  -0.02
Mg: 0.000 0.000 0.500  -0.02
Mn: 0.500 0.500 0.500  4.34


(11)
This record from the Alexandria database describes LaZr2Cr after structural relaxation. The functional is PBEsol.

Computed properties:
* VASP energy: -32.27 eV for the cell shown

Lattice parameters (Å, degrees): 3.415 5.045 5.780 115.87 107.18 90.00
Last column: magnetic moment on the atom in μB.
Fractional coordinates of all 4 atoms:
La: 0.217 0.717 0.434  0.00
Cr: 0.491 0.491 0.982  1.22
Zr: 0.793 0.293 0.585  -0.12
Zr: 0.999 0.999 0.999  -0.14


(12)
This record from the Alexandria database describes Fe2CoCu after structural relaxation. The functional is PBEsol.

Computed properties:
* VASP energy: -29.46 eV for the cell shown

Lattice parameters (Å, degrees): 2.398 4.670 4.670 117.33 99.75 99.75
Last column: magnetic moment on the atom in μB.
Fractional coordinates of all 4 atoms:
Fe: 0.000 0.500 0.000  2.44
Fe: 0.000 0.000 0.500  2.44
Co: 0.500 0.500 0.500  1.68
Cu: 0.500 0.000 0.000  0.09